A plane-wave DFT calculation with PBE was carried out for an optimized crystal structure of CrAg.

a b c (Å): 6.5622 6.5622 6.5622
angles (deg): 154.74 61.50 124.94
Element x y z (fractional)
Cr: 0.0000 0.0000 0.0000
Cr: 0.6771 0.2752 0.4019
Cr: 0.8732 0.2752 0.5981
Ag: 0.0242 0.7169 0.3073
Ag: 0.4095 0.7169 0.6927
Ag: 0.4360 0.4360 0.0000

Results
Formation energy   0.620 eV per atom
Fermi-level density of states   3.619 states/eV/cell

***

A plane-wave DFT calculation with PBE was carried out for an optimized crystal structure of CrAg.

a b c (Å): 8.3558 8.3558 3.9025
angles (deg): 90.00 90.00 90.00
Element x y z (fractional)
Cr: 0.0027 0.3764 0.0000
Cr: 0.1236 0.4973 0.5000
Cr: 0.3764 0.9973 0.0000
Cr: 0.4973 0.8764 0.5000
Cr: 0.5027 0.1236 0.5000
Cr: 0.6236 0.0027 0.0000
Cr: 0.8764 0.5027 0.5000
Cr: 0.9973 0.6236 0.0000
Ag: 0.1637 0.8333 0.5000
Ag: 0.1667 0.1637 0.5000
Ag: 0.3333 0.6637 0.0000
Ag: 0.3363 0.3333 0.0000
Ag: 0.6637 0.6667 0.0000
Ag: 0.6667 0.3363 0.0000
Ag: 0.8333 0.8363 0.5000
Ag: 0.8363 0.1667 0.5000

Results
Formation energy   0.580 eV per atom
Fermi-level density of states   13.574 states/eV/cell

***

A plane-wave DFT calculation with PBE was carried out for an optimized crystal structure of CrAg2.

a b c (Å): 2.9340 2.9340 6.9862
angles (deg): 90.00 90.00 120.00
Element x y z (fractional)
Cr: 0.0000 0.0000 0.0000
Ag: 0.3333 0.6667 0.6739
Ag: 0.6667 0.3333 0.3261

Results
Formation energy   0.448 eV per atom
Fermi-level density of states   1.802 states/eV/cell

***

A plane-wave DFT calculation with PBE was carried out for an optimized crystal structure of CrAg5.

a b c (Å): 5.4472 5.4472 5.4472
angles (deg): 60.00 60.00 60.00
Element x y z (fractional)
Cr: 0.0000 0.0000 0.0000
Ag: 0.1249 0.6250 0.6250
Ag: 0.2500 0.2500 0.2500
Ag: 0.6250 0.1249 0.6250
Ag: 0.6250 0.6250 0.1249
Ag: 0.6250 0.6250 0.6250

Results
Formation energy   0.330 eV per atom
Fermi-level density of states   1.729 states/eV/cell

***

Number 1: VASP energy -5.617 eV per atom, M_tot 0.7 μB/cell, volume 16.359 Å³/atom. Number 2: VASP energy -5.658 eV per atom, M_tot 0.0 μB/cell, volume 17.029 Å³/atom. Number 3: VASP energy -4.660 eV per atom, M_tot 3.9 μB/cell, volume 17.361 Å³/atom. Number 4: VASP energy -3.650 eV per atom, M_tot 4.7 μB/cell, volume 19.048 Å³/atom.